Computed, not measured: Ce2LuSe after structural relaxation at the GGA-PBE level of DFT.

- Uncorrected energy: -22.37 eV/cell
- DOS at the Fermi energy: 10.829 states/eV per cell
- Total magnetic moment: 2.60 Bohr magnetons per cell
- ΔE_f (raw): -0.623 eV per atom

a = 9.783 Å, b = 9.783 Å, c = 9.783 Å
α = 22.43°, β = 22.43°, γ = 22.43°
Fractional positions:
Ce (0.235, 0.235, 0.235)
Ce (0.765, 0.765, 0.765)
Lu (0.000, 0.000, 0.000)
Se (0.500, 0.500, 0.500)